Record 1
DFT (GGA-PBE) results for an optimized crystal structure of Ac8PdPt3I4.

Properties
E_form (uncorrected) in meV per atom: -1165
Crystal system: monoclinic
Density in Mg/m³: 8.3

CIF file:
```
data_Ac8PdPt3I4
_chemical_formula_sum 'Ac8 Pd1 Pt3 I4'
_space_group_name_H-M_alt 'P 1'
_space_group_IT_number 1
_cell_length_a 8.9616
_cell_length_b 8.9616
_cell_length_c 10.0768
_cell_angle_alpha 116.46
_cell_angle_beta 116.46
_cell_angle_gamma 60.00
loop_
_space_group_symop_operation_xyz
'x,y,z'
loop_
_atom_site_label
_atom_site_type_symbol
_atom_site_fract_x
_atom_site_fract_y
_atom_site_fract_z
Ac1 Ac 0.2261 0.7302 0.6861
Ac2 Ac 0.2286 0.2286 0.6854
Ac3 Ac 0.2697 0.2697 0.3139
Ac4 Ac 0.2698 0.7739 0.3139
Ac5 Ac 0.7302 0.2261 0.6861
Ac6 Ac 0.7303 0.7303 0.6861
Ac7 Ac 0.7714 0.7714 0.3146
Ac8 Ac 0.7739 0.2698 0.3139
Pd1 Pd 0.5000 0.5000 0.5000
Pt1 Pt 0.0000 0.0000 0.5000
Pt2 Pt 0.0000 0.5000 0.5000
Pt3 Pt 0.5000 0.0000 0.5000
I1 I 0.0000 0.0000 0.0000
I2 I 0.0000 0.5000 0.0000
I3 I 0.5000 0.0000 0.0000
I4 I 0.5000 0.5000 0.0000
```

***

Record 2
DFT (GGA-PBE) results for an optimized crystal structure of Ac6PdRh2I3.

Properties
E_form (uncorrected) in meV per atom: -1024
Crystal system: monoclinic
Density in Mg/m³: 7.8

CIF file:
```
data_Ac6PdRh2I3
_chemical_formula_sum 'Ac6 Pd1 Rh2 I3'
_space_group_name_H-M_alt 'P 1'
_space_group_IT_number 1
_cell_length_a 7.6332
_cell_length_b 7.6332
_cell_length_c 9.0465
_cell_angle_alpha 98.08
_cell_angle_beta 98.08
_cell_angle_gamma 119.99
loop_
_space_group_symop_operation_xyz
'x,y,z'
loop_
_atom_site_label
_atom_site_type_symbol
_atom_site_fract_x
_atom_site_fract_y
_atom_site_fract_z
Ac1 Ac 0.0964 0.4380 0.8140
Ac2 Ac 0.2202 0.2202 0.1858
Ac3 Ac 0.4380 0.0964 0.8140
Ac4 Ac 0.5620 0.9036 0.1860
Ac5 Ac 0.7798 0.7798 0.8142
Ac6 Ac 0.9036 0.5620 0.1860
Pd1 Pd 0.5000 0.5000 0.0000
Rh1 Rh 0.1667 0.8333 0.0000
Rh2 Rh 0.8333 0.1667 0.0000
I1 I 0.0000 0.0000 0.5000
I2 I 0.3331 0.6669 0.5000
I3 I 0.6669 0.3331 0.5000
```

***

Record 3
DFT (GGA-PBE) results for an optimized crystal structure of Ac6Pd2Rh3I.

Properties
E_form (uncorrected) in meV per atom: -763
Crystal system: monoclinic
Density in Mg/m³: 8.9

CIF file:
```
data_Ac6Pd2Rh3I
_chemical_formula_sum 'Ac6 Pd2 Rh3 I1'
_space_group_name_H-M_alt 'P 1'
_space_group_IT_number 1
_cell_length_a 10.0327
_cell_length_b 10.0327
_cell_length_c 9.1553
_cell_angle_alpha 105.24
_cell_angle_beta 105.24
_cell_angle_gamma 25.02
loop_
_space_group_symop_operation_xyz
'x,y,z'
loop_
_atom_site_label
_atom_site_type_symbol
_atom_site_fract_x
_atom_site_fract_y
_atom_site_fract_z
Ac1 Ac 0.0049 0.0049 0.2147
Ac2 Ac 0.3187 0.3187 0.4193
Ac3 Ac 0.3335 0.3335 0.9115
Ac4 Ac 0.6665 0.6665 0.0885
Ac5 Ac 0.6813 0.6813 0.5807
Ac6 Ac 0.9951 0.9951 0.7853
Pd1 Pd 0.1654 0.1654 0.8302
Pd2 Pd 0.8346 0.8346 0.1698
Rh1 Rh 0.1633 0.1633 0.3292
Rh2 Rh 0.5000 0.5000 0.0000
Rh3 Rh 0.8367 0.8367 0.6708
I1 I 0.5000 0.5000 0.5000
```

***

Record 4
DFT (GGA-PBE) results for an optimized crystal structure of Ac8PdRh3I4.

Properties
E_form (uncorrected) in meV per atom: -1028
Crystal system: monoclinic
Density in Mg/m³: 7.8

CIF file:
```
data_Ac8PdRh3I4
_chemical_formula_sum 'Ac8 Pd1 Rh3 I4'
_space_group_name_H-M_alt 'P 1'
_space_group_IT_number 1
_cell_length_a 8.7951
_cell_length_b 8.7951
_cell_length_c 10.0528
_cell_angle_alpha 115.90
_cell_angle_beta 115.90
_cell_angle_gamma 60.09
loop_
_space_group_symop_operation_xyz
'x,y,z'
loop_
_atom_site_label
_atom_site_type_symbol
_atom_site_fract_x
_atom_site_fract_y
_atom_site_fract_z
Ac1 Ac 0.2213 0.7321 0.6856
Ac2 Ac 0.2284 0.2284 0.6857
Ac3 Ac 0.2683 0.2683 0.3151
Ac4 Ac 0.2679 0.7787 0.3144
Ac5 Ac 0.7321 0.2213 0.6856
Ac6 Ac 0.7317 0.7317 0.6849
Ac7 Ac 0.7716 0.7716 0.3143
Ac8 Ac 0.7787 0.2679 0.3144
Pd1 Pd 0.5000 0.5000 0.5000
Rh1 Rh 0.0000 0.0000 0.5000
Rh2 Rh 0.0000 0.5000 0.5000
Rh3 Rh 0.5000 0.0000 0.5000
I1 I 0.0000 0.0000 0.0000
I2 I 0.0000 0.5000 0.0000
I3 I 0.5000 0.0000 0.0000
I4 I 0.5000 0.5000 0.0000
```

***

Record 5
DFT (GGA-PBE) results for an optimized crystal structure of Ac8Pd3RuI4.

Properties
E_form (uncorrected) in meV per atom: -937
Crystal system: monoclinic
Density in Mg/m³: 7.7

CIF file:
```
data_Ac8Pd3RuI4
_chemical_formula_sum 'Ac8 Pd3 Ru1 I4'
_space_group_name_H-M_alt 'P 1'
_space_group_IT_number 1
_cell_length_a 8.8870
_cell_length_b 8.8870
_cell_length_c 10.0799
_cell_angle_alpha 116.13
_cell_angle_beta 116.13
_cell_angle_gamma 60.06
loop_
_space_group_symop_operation_xyz
'x,y,z'
loop_
_atom_site_label
_atom_site_type_symbol
_atom_site_fract_x
_atom_site_fract_y
_atom_site_fract_z
Ac1 Ac 0.2232 0.2232 0.6871
Ac2 Ac 0.2227 0.7399 0.6865
Ac3 Ac 0.2601 0.7773 0.3135
Ac4 Ac 0.2715 0.2715 0.3132
Ac5 Ac 0.7285 0.7285 0.6868
Ac6 Ac 0.7399 0.2227 0.6865
Ac7 Ac 0.7773 0.2601 0.3135
Ac8 Ac 0.7768 0.7768 0.3129
Pd1 Pd 0.0000 0.5000 0.5000
Pd2 Pd 0.5000 0.0000 0.5000
Pd3 Pd 0.5000 0.5000 0.5000
Ru1 Ru 0.0000 0.0000 0.5000
I1 I 0.0000 0.0000 0.0000
I2 I 0.0000 0.5000 0.0000
I3 I 0.5000 0.0000 0.0000
I4 I 0.5000 0.5000 0.0000
```

***

Record 6
DFT (GGA-PBE) results for an optimized crystal structure of Ac4PdRuI2.

Properties
E_form (uncorrected) in meV per atom: -889
Crystal system: monoclinic
Density in Mg/m³: 7.8

CIF file:
```
data_Ac4PdRuI2
_chemical_formula_sum 'Ac4 Pd1 Ru1 I2'
_space_group_name_H-M_alt 'P 1'
_space_group_IT_number 1
_cell_length_a 7.6267
_cell_length_b 4.4036
_cell_length_c 9.0477
_cell_angle_alpha 90.00
_cell_angle_beta 106.27
_cell_angle_gamma 90.00
loop_
_space_group_symop_operation_xyz
'x,y,z'
loop_
_atom_site_label
_atom_site_type_symbol
_atom_site_fract_x
_atom_site_fract_y
_atom_site_fract_z
Ac1 Ac 0.2184 0.0000 0.1872
Ac2 Ac 0.2583 0.5000 0.8144
Ac3 Ac 0.7417 0.5000 0.1856
Ac4 Ac 0.7816 0.0000 0.8128
Pd1 Pd 0.5000 0.0000 0.0000
Ru1 Ru 0.0000 0.5000 0.0000
I1 I 0.0000 0.0000 0.5000
I2 I 0.5000 0.5000 0.5000
```

***

Record 7
DFT (GGA-PBE) results for an optimized crystal structure of Ac6Pd2SI3.

Properties
E_form (uncorrected) in meV per atom: -1099
Crystal system: monoclinic
Density in Mg/m³: 7.6

CIF file:
```
data_Ac6Pd2SI3
_chemical_formula_sum 'Ac6 Pd2 S1 I3'
_space_group_name_H-M_alt 'P 1'
_space_group_IT_number 1
_cell_length_a 7.7571
_cell_length_b 7.7571
_cell_length_c 8.7355
_cell_angle_alpha 98.50
_cell_angle_beta 98.50
_cell_angle_gamma 119.88
loop_
_space_group_symop_operation_xyz
'x,y,z'
loop_
_atom_site_label
_atom_site_type_symbol
_atom_site_fract_x
_atom_site_fract_y
_atom_site_fract_z
Ac1 Ac 0.0949 0.4341 0.8053
Ac2 Ac 0.2247 0.2247 0.1936
Ac3 Ac 0.4341 0.0949 0.8053
Ac4 Ac 0.5659 0.9051 0.1947
Ac5 Ac 0.7753 0.7753 0.8064
Ac6 Ac 0.9051 0.5659 0.1947
Pd1 Pd 0.1670 0.8330 0.0000
Pd2 Pd 0.8330 0.1670 0.0000
S1 S 0.5000 0.5000 0.0000
I1 I 0.0000 0.0000 0.5000
I2 I 0.3366 0.6634 0.5000
I3 I 0.6634 0.3366 0.5000
```

***

Record 8
DFT (GGA-PBE) results for an optimized crystal structure of Ac4SbPdI2.

Properties
E_form (uncorrected) in meV per atom: -994
Crystal system: monoclinic
Density in Mg/m³: 7.4

CIF file:
```
data_Ac4SbPdI2
_chemical_formula_sum 'Ac4 Sb1 Pd1 I2'
_space_group_name_H-M_alt 'P 1'
_space_group_IT_number 1
_cell_length_a 8.4692
_cell_length_b 4.4999
_cell_length_c 8.4901
_cell_angle_alpha 90.00
_cell_angle_beta 106.61
_cell_angle_gamma 90.00
loop_
_space_group_symop_operation_xyz
'x,y,z'
loop_
_atom_site_label
_atom_site_type_symbol
_atom_site_fract_x
_atom_site_fract_y
_atom_site_fract_z
Ac1 Ac 0.2076 0.0000 0.1956
Ac2 Ac 0.2477 0.5000 0.7848
Ac3 Ac 0.7523 0.5000 0.2152
Ac4 Ac 0.7924 0.0000 0.8044
Sb1 Sb 0.5000 0.0000 0.0000
Pd1 Pd 0.0000 0.5000 0.0000
I1 I 0.0000 0.0000 0.5000
I2 I 0.5000 0.5000 0.5000
```

***

Record 9
DFT (GGA-PBE) results for an optimized crystal structure of Ac8Pd3SeI4.

Properties
E_form (uncorrected) in meV per atom: -1043
Crystal system: trigonal
Density in Mg/m³: 7.6

CIF file:
```
data_Ac8Pd3SeI4
_chemical_formula_sum 'Ac8 Pd3 Se1 I4'
_space_group_name_H-M_alt 'P 1'
_space_group_IT_number 1
_cell_length_a 9.9254
_cell_length_b 9.9254
_cell_length_c 9.9254
_cell_angle_alpha 53.95
_cell_angle_beta 53.95
_cell_angle_gamma 53.95
loop_
_space_group_symop_operation_xyz
'x,y,z'
loop_
_atom_site_label
_atom_site_type_symbol
_atom_site_fract_x
_atom_site_fract_y
_atom_site_fract_z
Ac1 Ac 0.2236 0.7379 0.7379
Ac2 Ac 0.2290 0.2290 0.2290
Ac3 Ac 0.2621 0.2621 0.7764
Ac4 Ac 0.2621 0.7764 0.2621
Ac5 Ac 0.7379 0.2236 0.7379
Ac6 Ac 0.7379 0.7379 0.2236
Ac7 Ac 0.7710 0.7710 0.7710
Ac8 Ac 0.7764 0.2621 0.2621
Pd1 Pd 0.0000 0.0000 0.5000
Pd2 Pd 0.0000 0.5000 0.0000
Pd3 Pd 0.5000 0.0000 0.0000
Se1 Se 0.5000 0.5000 0.5000
I1 I 0.0000 0.0000 0.0000
I2 I 0.0000 0.5000 0.5000
I3 I 0.5000 0.0000 0.5000
I4 I 0.5000 0.5000 0.0000
```

***

Record 10
DFT (GGA-PBE) results for an optimized crystal structure of Ac4PdSeI2.

Properties
E_form (uncorrected) in meV per atom: -1149
Crystal system: monoclinic
Density in Mg/m³: 7.6

CIF file:
```
data_Ac4PdSeI2
_chemical_formula_sum 'Ac4 Pd1 Se1 I2'
_space_group_name_H-M_alt 'P 1'
_space_group_IT_number 1
_cell_length_a 8.0503
_cell_length_b 4.3874
_cell_length_c 8.6581
_cell_angle_alpha 90.00
_cell_angle_beta 106.90
_cell_angle_gamma 90.00
loop_
_space_group_symop_operation_xyz
'x,y,z'
loop_
_atom_site_label
_atom_site_type_symbol
_atom_site_fract_x
_atom_site_fract_y
_atom_site_fract_z
Ac1 Ac 0.2159 0.0000 0.1964
Ac2 Ac 0.2642 0.5000 0.7954
Ac3 Ac 0.7358 0.5000 0.2046
Ac4 Ac 0.7841 0.0000 0.8036
Pd1 Pd 0.0000 0.5000 0.0000
Se1 Se 0.5000 0.0000 0.0000
I1 I 0.0000 0.0000 0.5000
I2 I 0.5000 0.5000 0.5000
```